Run w
This record from Alexandria via LeMat-Bulk describes a relaxed CoAuS crystal. The functional is PBE.

As for the space group: No. 160.

a b c (Å): 3.0800 3.0800 17.3123
angles (deg): 90.00 90.00 120.00
Last column: nearest neighbours and their distance in Å.
Positions (direct):
Co: 0.0000 0.0000 0.1600  3 S 2.11
Co: 0.3333 0.6667 0.8267  3 S 2.11
Co: 0.6667 0.3333 0.4934  3 S 2.11
S: 0.0000 0.0000 0.7612  3 Co 2.11
S: 0.3333 0.6667 0.4279  3 Co 2.11
S: 0.6667 0.3333 0.0945  3 Co 2.11
Au: 0.0000 0.0000 0.6121  1 S 2.58, 3 Co 2.72
Au: 0.3333 0.6667 0.2787  1 S 2.58, 3 Co 2.72
Au: 0.6667 0.3333 0.9454  1 S 2.58, 3 Co 2.72

***

Run x
This record from Alexandria via LeMat-Bulk describes a relaxed CoAuS crystal. The functional is PBE.

As for the space group: No. 129.

a b c (Å): 3.5119 3.5119 8.8044
angles (deg): 90.00 90.00 90.00
Last column: nearest neighbours and their distance in Å.
Positions (direct):
Co: 0.0000 0.0000 0.5000  4 S 2.18
Co: 0.5000 0.5000 0.5000  4 S 2.18
S: 0.0000 0.5000 0.6476  4 Co 2.18
S: 0.5000 0.0000 0.3524  4 Co 2.18
Au: 0.0000 0.5000 0.9265  1 S 2.45
Au: 0.5000 0.0000 0.0735  1 S 2.45

***

On energetic grounds, run w is preferred over the next structure by 3.4 kJ/mol of atoms.

***

Run w
This record from Alexandria via LeMat-Bulk describes a relaxed CoAuS crystal. The functional is PBE.

As for the space group: No. 12.

a b c (Å): 4.3877 6.5407 7.3015
angles (deg): 96.17 107.49 90.00
Last column: nearest neighbours and their distance in Å.
Positions (direct):
Au: 0.0649 0.3591 0.1297  2 S 2.55-2.75, 3 Au 2.72-2.73
Au: 0.4689 0.1910 0.9378  2 Co 2.58-2.66, 3 Au 2.73-2.74
Au: 0.5311 0.8090 0.0622  2 Co 2.58-2.66, 3 Au 2.73-2.74
Au: 0.9351 0.6409 0.8703  2 S 2.55-2.75, 3 Au 2.72-2.73
S: 0.2155 0.6187 0.4310  4 Co 2.18-2.25
S: 0.7858 0.8827 0.5715  4 Co 2.20-2.25
S: 0.7845 0.3813 0.5690  4 Co 2.18-2.25
S: 0.2142 0.1173 0.4285  4 Co 2.20-2.25
Co: 0.3203 0.3942 0.6406  4 S 2.18-2.25
Co: 0.6783 0.1069 0.3566  4 S 2.19-2.25
Co: 0.6797 0.6058 0.3594  4 S 2.18-2.25
Co: 0.3217 0.8931 0.6434  4 S 2.19-2.25

***

Run x
This record from Alexandria via LeMat-Bulk describes a relaxed CoAuS crystal. The functional is PBE.

As for the space group: No. 156.

a b c (Å): 3.0517 3.0517 5.8449
angles (deg): 90.00 90.00 120.00
Last column: nearest neighbours and their distance in Å.
Positions (direct):
Co: 0.6667 0.3333 0.5217  3 S 2.11
S: 0.3333 0.6667 0.7197  3 Co 2.11
Au: 0.3333 0.6667 0.1587  1 S 2.57, 3 Co 2.76

***

On energetic grounds, run x is preferred over the next structure by 25.0 kJ/mol of atoms.

***

Run w
This record from Alexandria via LeMat-Bulk describes a relaxed CoSb2Au crystal. The functional is PBE.

As for the space group: No. 216.

a b c (Å): 4.9017 4.9017 4.9017
angles (deg): 60.00 60.00 60.00
Last column: nearest neighbours and their distance in Å.
Positions (direct):
Au: 0.5000 0.5000 0.5000  4 Co 3.00, 4 Sb 3.00
Co: 0.2500 0.2500 0.2500  4 Sb 3.00, 4 Au 3.00
Sb: 0.0000 0.0000 0.0000  4 Sb 3.00, 4 Co 3.00
Sb: 0.7500 0.7500 0.7500  4 Sb 3.00, 4 Au 3.00

***

Run x
This record from Alexandria via LeMat-Bulk describes a relaxed CoSb2Au crystal. The functional is PBE.

As for the space group: No. 122.

a b c (Å): 5.0469 5.0469 8.3011
angles (deg): 72.30 72.30 90.00
Last column: nearest neighbours and their distance in Å.
Positions (direct):
Sb: 0.5777 0.1250 0.2500  2 Co 2.48, 2 Au 2.71
Sb: 0.1723 0.6250 0.2500  2 Co 2.48, 2 Au 2.71
Sb: 0.3750 0.4223 0.7500  2 Co 2.48, 2 Au 2.71
Sb: 0.8750 0.8277 0.7500  2 Co 2.48, 2 Au 2.71
Au: 0.0000 0.0000 0.0000  4 Sb 2.71
Au: 0.7500 0.2500 0.5000  4 Sb 2.71
Co: 0.5000 0.5000 0.0000  4 Sb 2.48
Co: 0.2500 0.7500 0.5000  4 Sb 2.48

***

On energetic grounds, run x is preferred over the next structure by 32.1 kJ/mol of atoms.